[1]
# DyGaHg

An optimized crystal structure of DyGaHg (PBE, Alexandria).

```
data_DyGaHg
_chemical_formula_sum 'Dy2 Ga2 Hg2'
_space_group_name_H-M_alt 'P 1'
_space_group_IT_number 1
_cell_length_a 4.188
_cell_length_b 4.188
_cell_length_c 8.565
_cell_angle_alpha 102.57
_cell_angle_beta 102.57
_cell_angle_gamma 89.99
loop_
_space_group_symop_operation_xyz
'x,y,z'
loop_
_atom_site_label
_atom_site_type_symbol
_atom_site_fract_x
_atom_site_fract_y
_atom_site_fract_z
_atom_site_occupancy
Hg1 Hg 0.063 0.826 0.828 1
Hg2 Hg 0.174 0.937 0.172 1
Ga1 Ga 0.401 0.517 0.350 1
Ga2 Ga 0.483 0.599 0.650 1
Dy1 Dy 0.637 0.363 0.000 1
Dy2 Dy 0.920 0.080 0.500 1
```

Summary:
Energy relative to the lowest polymorph listed for this composition = 109 meV/atom
Energy relative to the elements = -0.391 eV per atom
SG = C2, No. 5



[2]
# KLaGa4

An optimized crystal structure of KLaGa4 (PBE, Alexandria).

```
data_KLaGa4
_chemical_formula_sum 'K1 La1 Ga4'
_space_group_name_H-M_alt 'P 1'
_space_group_IT_number 1
_cell_length_a 5.774
_cell_length_b 5.774
_cell_length_c 5.774
_cell_angle_alpha 60.00
_cell_angle_beta 60.00
_cell_angle_gamma 60.00
loop_
_space_group_symop_operation_xyz
'x,y,z'
loop_
_atom_site_label
_atom_site_type_symbol
_atom_site_fract_x
_atom_site_fract_y
_atom_site_fract_z
_atom_site_occupancy
Ga1 Ga 0.123 0.626 0.626 1
Ga2 Ga 0.626 0.626 0.626 1
Ga3 Ga 0.626 0.123 0.626 1
Ga4 Ga 0.626 0.626 0.123 1
La1 La 0.000 0.000 0.000 1
K1 K 0.250 0.250 0.250 1
```

Summary:
Energy relative to the elements = -0.278 eV per atom
SG = F-43m, No. 216